Entry 1:
The following is a PBEsol calculation of a geometry-optimized LiBeP structure, from the Alexandria database.

Calculated values
space-group type = No. 187
uncorrected energy = -13.15 eV/cell
energy of formation = -0.46 eV/atom
magnetic moment = 0.00 μB/cell

a b c (Å): 3.5903 3.5903 3.8539
angles (deg): 90.00 90.00 120.00
With the nearest neighbours (Å) after each atom.
Fractional positions:
Li  0.0000  0.0000  0.0000  6 Be 2.83, 6 P 2.83
Be  0.3333  0.6667  0.5000  3 P 2.07
P  0.6667  0.3333  0.5000  3 Be 2.07


Entry 2:
The following is a PBEsol calculation of a geometry-optimized SrTc3H structure, from the Alexandria database.

Calculated values
space-group type = No. 221
uncorrected energy = -34.04 eV/cell
magnetic moment = 0.00 μB/cell

a b c (Å): 4.1400 4.1400 4.1400
angles (deg): 90.00 90.00 90.00
With the nearest neighbours (Å) after each atom.
Fractional positions:
Sr  0.0000  0.0000  0.0000  12 Tc 2.93
Tc  0.0000  0.5000  0.5000  2 H 2.07
Tc  0.5000  0.0000  0.5000  2 H 2.07
Tc  0.5000  0.5000  0.0000  2 H 2.07
H  0.5000  0.5000  0.5000  6 Tc 2.07


Entry 3:
The following is a PBEsol calculation of a geometry-optimized HfMg3N structure, from the Alexandria database.

Calculated values
ΔE_f (raw) = 2.230 eV per atom
space-group type = No. 221
uncorrected energy = -13.03 eV/cell
magnetic moment = 0.49 μB/cell

a b c (Å): 5.7296 5.7296 5.7296
angles (deg): 90.00 90.00 90.00
With the nearest neighbours (Å) after each atom.
Fractional positions:
Hf  0.0000  0.0000  0.0000  6 Mg 2.86
Mg  0.0000  0.0000  0.5000  2 Hf 2.86
Mg  0.0000  0.5000  0.0000  2 Hf 2.86
Mg  0.5000  0.0000  0.0000  2 Hf 2.86
N  0.5000  0.5000  0.5000  12 Mg 4.05


Entry 4:
The following is a PBEsol calculation of a geometry-optimized HgOsPb2 structure, from the Alexandria database.

Calculated values
space-group type = No. 123
uncorrected energy = -17.53 eV/cell
energy of formation = 0.81 eV/atom
magnetic moment = 0.00 μB/cell

a b c (Å): 5.0446 5.0446 3.3846
angles (deg): 90.00 90.00 90.00
With the nearest neighbours (Å) after each atom.
Fractional positions:
Hg  0.0000  0.0000  0.0000  8 Pb 3.04, 2 Hg 3.38
Os  0.5000  0.5000  0.0000  8 Pb 3.04, 2 Os 3.38
Pb  0.0000  0.5000  0.5000  4 Os 3.04, 4 Hg 3.04, 2 Pb 3.38
Pb  0.5000  0.0000  0.5000  4 Os 3.04, 4 Hg 3.04, 2 Pb 3.38


Entry 5:
The following is a PBEsol calculation of a geometry-optimized Al2Cu2Ag structure, from the Alexandria database.

Calculated values
space-group type = No. 139
uncorrected energy = -39.80 eV/cell
energy of formation = 0.05 eV/atom
magnetic moment = 0.00 μB/cell
excess energy over the best structure of this formula in the dataset = 162 meV/atom

a b c (Å): 3.2910 3.2910 13.8571
angles (deg): 90.00 90.00 90.00
With the nearest neighbours (Å) after each atom.
Fractional positions:
Al  0.0000  0.0000  0.1087  4 Cu 2.56, 4 Ag 2.77
Al  0.0000  0.0000  0.8913  4 Cu 2.56, 4 Ag 2.77
Al  0.5000  0.5000  0.3913  4 Cu 2.56, 4 Ag 2.77
Al  0.5000  0.5000  0.6087  4 Cu 2.56, 4 Ag 2.77
Cu  0.0000  0.5000  0.2500  4 Cu 2.33, 4 Al 2.56
Cu  0.0000  0.5000  0.7500  4 Cu 2.33, 4 Al 2.56
Cu  0.5000  0.0000  0.2500  4 Cu 2.33, 4 Al 2.56
Cu  0.5000  0.0000  0.7500  4 Cu 2.33, 4 Al 2.56
Ag  0.0000  0.0000  0.5000  8 Al 2.77
Ag  0.5000  0.5000  0.0000  8 Al 2.77


Entry 6:
The following is a PBEsol calculation of a geometry-optimized Sr5B10Rh14 structure, from the Alexandria database.

Calculated values
space-group type = No. 69
uncorrected energy = -210.33 eV/cell
energy of formation = -0.59 eV/atom
magnetic moment = 0.00 μB/cell

a b c (Å): 15.1366 14.5878 5.6390
angles (deg): 84.60 73.63 21.77
With the nearest neighbours (Å) after each atom.
Fractional positions:
Sr  0.0000  0.0000  0.0000  2 Sr 2.99, 12 Rh 3.14-3.17, 6 B 3.22-3.28
Sr  0.1043  0.1043  0.8957  2 Sr 2.99-3.05, 12 Rh 3.10-3.21, 6 B 3.22-3.28
Sr  0.2109  0.2109  0.7891  8 B 2.97-3.30, 10 Rh 3.03-3.29, 1 Sr 3.05
Sr  0.7891  0.7891  0.2109  8 B 2.97-3.30, 10 Rh 3.03-3.29, 1 Sr 3.05
Sr  0.8957  0.8957  0.1043  2 Sr 2.99-3.05, 12 Rh 3.10-3.21, 6 B 3.22-3.28
B  0.1339  0.4622  0.5378  5 Rh 2.13-2.17
B  0.2335  0.5641  0.4359  6 Rh 2.17-2.19
B  0.3342  0.6658  0.3342  6 Rh 2.17-2.18
B  0.4359  0.7665  0.2335  6 Rh 2.17-2.19
B  0.4622  0.1339  0.8661  5 Rh 2.13-2.17
B  0.5378  0.8661  0.1339  5 Rh 2.13-2.17
B  0.5641  0.2335  0.7665  6 Rh 2.17-2.19
B  0.6658  0.3342  0.6658  6 Rh 2.17-2.18
B  0.7665  0.4359  0.5641  6 Rh 2.17-2.19
B  0.8661  0.5378  0.4622  5 Rh 2.13-2.17
Rh  0.0507  0.0507  0.4493  4 B 2.17
Rh  0.1517  0.1517  0.3483  4 B 2.17
Rh  0.2500  0.2500  0.2500  4 B 2.13
Rh  0.3483  0.3483  0.1517  4 B 2.17
Rh  0.3476  0.3476  0.6524  4 B 2.15-2.19
Rh  0.4493  0.4493  0.0507  4 B 2.17
Rh  0.4495  0.4495  0.5505  4 B 2.18
Rh  0.5505  0.5505  0.4495  4 B 2.18
Rh  0.5507  0.5507  0.9493  4 B 2.17
Rh  0.6524  0.6524  0.3476  4 B 2.15-2.19
Rh  0.6517  0.6517  0.8483  4 B 2.17
Rh  0.7500  0.7500  0.7500  4 B 2.13
Rh  0.8483  0.8483  0.6517  4 B 2.17
Rh  0.9493  0.9493  0.5507  4 B 2.17


Entry 7:
The following is a PBEsol calculation of a geometry-optimized Zr2MnBe structure, from the Alexandria database.

Calculated values
space-group type = No. 166
uncorrected energy = -92.39 eV/cell
energy of formation = 0.29 eV/atom
magnetic moment = 0.01 μB/cell

a b c (Å): 3.1793 3.1793 22.4601
angles (deg): 90.00 90.00 120.00
With the nearest neighbours (Å) after each atom.
Fractional positions:
Zr  0.0000  0.0000  0.2484  3 Mn 2.60, 3 Be 2.65
Zr  0.0000  0.0000  0.7516  3 Mn 2.60, 3 Be 2.65
Zr  0.3333  0.6667  0.4182  3 Mn 2.60, 3 Be 2.65
Zr  0.3333  0.6667  0.9151  3 Mn 2.60, 3 Be 2.65
Zr  0.6667  0.3333  0.0849  3 Mn 2.60, 3 Be 2.65
Zr  0.6667  0.3333  0.5818  3 Mn 2.60, 3 Be 2.65
Mn  0.0000  0.0000  0.5000  6 Zr 2.60
Mn  0.3333  0.6667  0.1667  6 Zr 2.60
Mn  0.6667  0.3333  0.8333  6 Zr 2.60
Be  0.0000  0.0000  0.0000  6 Zr 2.65
Be  0.3333  0.6667  0.6667  6 Zr 2.65
Be  0.6667  0.3333  0.3333  6 Zr 2.65


Entry 8:
The following is a PBEsol calculation of a geometry-optimized Na2SrAs2 structure, from the Alexandria database.

Calculated values
space-group type = No. 127
uncorrected energy = -33.43 eV/cell
energy of formation = -0.37 eV/atom
magnetic moment = 0.00 μB/cell
excess energy over the best structure of this formula in the dataset = 222 meV/atom

a b c (Å): 8.6269 8.6269 3.3190
angles (deg): 90.00 90.00 90.00
With the nearest neighbours (Å) after each atom.
Fractional positions:
Na  0.1189  0.3811  0.0000  1 Na 2.90, 6 As 2.97-3.11
Na  0.3811  0.8811  0.0000  1 Na 2.90, 6 As 2.97-3.11
Na  0.6189  0.1189  0.0000  1 Na 2.90, 6 As 2.97-3.11
Na  0.8811  0.6189  0.0000  1 Na 2.90, 6 As 2.97-3.11
Sr  0.0000  0.0000  0.5000  4 As 3.17, 2 Sr 3.32
Sr  0.5000  0.5000  0.5000  4 As 3.17, 2 Sr 3.32
As  0.1793  0.6793  0.5000  6 Na 2.97-3.11, 2 Sr 3.17, 2 As 3.32
As  0.3207  0.1793  0.5000  6 Na 2.97-3.11, 2 Sr 3.17, 2 As 3.32
As  0.6793  0.8207  0.5000  6 Na 2.97-3.11, 2 Sr 3.17, 2 As 3.32
As  0.8207  0.3207  0.5000  6 Na 2.97-3.11, 2 Sr 3.17, 2 As 3.32


Copy entry 5 word for word.
The following is a PBEsol calculation of a geometry-optimized Al2Cu2Ag structure, from the Alexandria database.

Calculated values
space-group type = No. 139
uncorrected energy = -39.80 eV/cell
energy of formation = 0.05 eV/atom
magnetic moment = 0.00 μB/cell
excess energy over the best structure of this formula in the dataset = 162 meV/atom

a b c (Å): 3.2910 3.2910 13.8571
angles (deg): 90.00 90.00 90.00
With the nearest neighbours (Å) after each atom.
Fractional positions:
Al  0.0000  0.0000  0.1087  4 Cu 2.56, 4 Ag 2.77
Al  0.0000  0.0000  0.8913  4 Cu 2.56, 4 Ag 2.77
Al  0.5000  0.5000  0.3913  4 Cu 2.56, 4 Ag 2.77
Al  0.5000  0.5000  0.6087  4 Cu 2.56, 4 Ag 2.77
Cu  0.0000  0.5000  0.2500  4 Cu 2.33, 4 Al 2.56
Cu  0.0000  0.5000  0.7500  4 Cu 2.33, 4 Al 2.56
Cu  0.5000  0.0000  0.2500  4 Cu 2.33, 4 Al 2.56
Cu  0.5000  0.0000  0.7500  4 Cu 2.33, 4 Al 2.56
Ag  0.0000  0.0000  0.5000  8 Al 2.77
Ag  0.5000  0.5000  0.0000  8 Al 2.77